VASP calculation (GGA-PBEsol) on crystalline SrBr3O at its relaxed geometry.

Properties
Total DFT energy (no corrections)   -16.6 eV per formula unit
Calculated density   5.05 g cm⁻³
E_form (uncorrected)   -0.787 eV per atom

Unit cell a=4.834 b=4.834 c=4.834 alpha=90.00 beta=90.00 gamma=90.00
Space group Pm-3m (No. 221)
Unique sites:
Sr 0.000 0.000 0.000 [1 per cell]
Br 0.000 0.500 0.500 [3 per cell]
O 0.500 0.500 0.500 [1 per cell]